The following is a DFT calculation (GGA-PBE) of crystalline CaTaSe3 at its relaxed geometry.

Structure (POSCAR):
```
CaTaSe3
1.0
5.067 0.000 0.000
0.000 5.067 0.000
0.000 0.000 5.067
Ca Ta Se
1 1 3
Direct
0.000 0.000 0.000
0.500 0.500 0.500
0.000 0.500 0.500
0.500 0.000 0.500
0.500 0.500 0.000
```

Values from the calculation:
magnetization	0.000	Bohr magnetons per cell
formation energy without anion corrections	-842	meV/atom
crystal system	cubic